Compound: Ba2TlCl
Source: Alexandria
Functional: GGA-PBE
Structure: relaxed

## Properties
E above lowest polymorph = 100 meV per atom
calculated total energy = -12.1 eV/cell
symmetry = Imm2, No. 44
density of states at the Fermi level = 2.87 states/eV/cell
uncorrected formation energy = -1.001 eV per atom
crystal system = orthorhombic
magnetic moment = 0.00 μB per cell

a b c (Å): 9.2382 9.2382 9.2382
angles (deg): 153.85 152.12 38.59
Positions (direct):
Ba1 0.9596 0.9596 0.0000
Ba2 0.7004 0.2004 0.5000
Cl1 0.5385 0.5385 0.0000
Tl1 0.3015 0.8015 0.5000

***

Compound: BaTlCl2
Source: Alexandria
Functional: GGA-PBE
Structure: relaxed

## Properties
E above lowest polymorph = 495 meV per atom
calculated total energy = -12.3 eV/cell
symmetry = F-43m, No. 216
density of states at the Fermi level = 3.52 states/eV/cell
uncorrected formation energy = -1.089 eV per atom
crystal system = cubic
magnetic moment = 0.35 μB per cell

a b c (Å): 5.6075 5.6075 5.6075
angles (deg): 60.00 60.00 60.00
Site moments in Bohr magnetons follow the coordinates.
Positions (direct):
Cl1 0.0000 0.0000 0.0000  0.01
Cl2 0.2500 0.2500 0.2500  0.01
Ba1 0.5000 0.5000 0.5000  0.06
Tl1 0.7500 0.7500 0.7500  0.07

***

Compound: Ba2TlCl
Source: Alexandria
Functional: GGA-PBE
Structure: relaxed

## Properties
E above lowest polymorph = 26 meV per atom
calculated total energy = -12.4 eV/cell
symmetry = R-3m, No. 166
density of states at the Fermi level = 2.20 states/eV/cell
uncorrected formation energy = -1.075 eV per atom
crystal system = trigonal
magnetic moment = 0.00 μB per cell

a b c (Å): 9.1684 9.1684 9.1684
angles (deg): 29.24 29.24 29.24
Positions (direct):
Ba1 0.5049 0.5049 0.5049
Ba2 0.9951 0.9951 0.9951
Cl1 0.2500 0.2500 0.2500
Tl1 0.7500 0.7500 0.7500

***

Compound: Ba6Tl2Cl
Source: Alexandria
Functional: GGA-PBE
Structure: relaxed

## Properties
calculated total energy = -47.1 eV/cell
symmetry = P2_1/c, No. 14
density of states at the Fermi level = 18.24 states/eV/cell
uncorrected formation energy = -0.606 eV per atom
crystal system = monoclinic
magnetic moment = 1.48 μB per cell

a b c (Å): 8.0622 8.9546 11.9801
angles (deg): 90.00 89.33 90.00
Positions (direct):
Tl1 0.9591 0.4017 0.2467
Tl2 0.5409 0.9017 0.2533
Tl3 0.4591 0.0983 0.7467
Tl4 0.0409 0.5983 0.7533
Ba1 0.1740 0.3108 0.9319
Ba2 0.3713 0.5366 0.2550
Ba3 0.1287 0.0366 0.2450
Ba4 0.8260 0.6892 0.0681
Ba5 0.6740 0.1892 0.4319
Ba6 0.1800 0.3197 0.5649
Ba7 0.6800 0.1803 0.0649
Ba8 0.3260 0.8108 0.5681
Ba9 0.8713 0.9634 0.7550
Ba10 0.8200 0.6803 0.4351
Ba11 0.3200 0.8197 0.9351
Ba12 0.6287 0.4634 0.7450
Cl1 0.5000 0.5000 0.0000
Cl2 0.0000 0.0000 0.5000

***

Compound: BaUTlCl6
Source: Alexandria
Functional: GGA-PBE
Structure: relaxed

## Properties
calculated total energy = -85.8 eV/cell
symmetry = P-31c, No. 163
density of states at the Fermi level = 0.50 states/eV/cell
uncorrected formation energy = -1.803 eV per atom
crystal system = trigonal
magnetic moment = 6.00 μB per cell

a b c (Å): 7.7968 7.7968 12.9972
angles (deg): 90.00 90.00 120.00
Site moments in Bohr magnetons follow the coordinates.
Positions (direct):
Cl1 0.3772 0.3448 0.3677  -0.01
Cl2 0.3772 0.0324 0.1323  -0.01
Cl3 0.9676 0.3448 0.1323  -0.01
Cl4 0.0324 0.6552 0.8677  -0.01
Cl5 0.3448 0.3772 0.8677  -0.01
Cl6 0.6552 0.6228 0.1323  -0.01
Cl7 0.0324 0.3772 0.6323  -0.01
Cl8 0.9676 0.6228 0.3677  -0.01
Cl9 0.3448 0.9676 0.6323  -0.01
Cl10 0.6552 0.0324 0.3677  -0.01
Cl11 0.6228 0.6552 0.6323  -0.01
Cl12 0.6228 0.9676 0.8677  -0.01
Tl1 0.0000 0.0000 0.0000  0.00
Tl2 0.0000 0.0000 0.5000  0.00
U1 0.6667 0.3333 0.2500  2.89
U2 0.3333 0.6667 0.7500  2.89
Ba1 0.3333 0.6667 0.2500  0.01
Ba2 0.6667 0.3333 0.7500  0.01

***

Compound: BaTl2VCl
Source: Alexandria
Functional: GGA-PBE
Structure: relaxed

## Properties
calculated total energy = -16.5 eV/cell
symmetry = P4/mmm, No. 123
density of states at the Fermi level = 8.49 states/eV/cell
uncorrected formation energy = 0.223 eV per atom
crystal system = tetragonal
magnetic moment = 0.00 μB per cell

a b c (Å): 5.9939 4.4109 5.9939
angles (deg): 90.00 90.00 90.00
Positions (direct):
Tl1 0.5000 0.0000 0.0000
Tl2 0.0000 0.0000 0.5000
Cl1 0.0000 0.0000 0.0000
Ba1 0.5000 0.5000 0.5000
V1 0.0000 0.5000 0.0000

***

Compound: BaTlV2Cl
Source: Alexandria
Functional: GGA-PBE
Structure: relaxed

## Properties
calculated total energy = -22.1 eV/cell
symmetry = P4/mmm, No. 123
density of states at the Fermi level = 4.41 states/eV/cell
uncorrected formation energy = 0.445 eV per atom
crystal system = tetragonal
magnetic moment = 6.65 μB per cell

a b c (Å): 4.8372 5.9004 4.8372
angles (deg): 90.00 90.00 90.00
Site moments in Bohr magnetons follow the coordinates.
Positions (direct):
Ba1 0.0000 0.5000 0.0000  0.01
V1 0.0000 0.0000 0.5000  2.75
V2 0.5000 0.0000 0.0000  2.74
Tl1 0.5000 0.5000 0.5000  -0.06
Cl1 0.0000 0.0000 0.0000  -0.04

***

Compound: BaTlVCl6
Source: Alexandria
Functional: GGA-PBE
Structure: relaxed

## Properties
calculated total energy = -77.5 eV/cell
symmetry = P-31c, No. 163
density of states at the Fermi level = 21.65 states/eV/cell
uncorrected formation energy = -1.585 eV per atom
crystal system = trigonal
magnetic moment = 4.00 μB per cell

a b c (Å): 7.3983 7.3983 12.4597
angles (deg): 90.00 90.00 120.00
Site moments in Bohr magnetons follow the coordinates.
Positions (direct):
Tl1 0.0000 0.0000 0.5000  0.00
Tl2 0.0000 0.0000 0.0000  0.00
Cl1 0.9316 0.5971 0.3628  -0.01
Cl2 0.0684 0.6655 0.8628  -0.01
Cl3 0.3345 0.9316 0.6372  -0.01
Cl4 0.3345 0.4029 0.8628  -0.01
Cl5 0.4029 0.0684 0.1372  -0.01
Cl6 0.6655 0.5971 0.1372  -0.01
Cl7 0.9316 0.3345 0.1372  -0.01
Cl8 0.5971 0.9316 0.8628  -0.01
Cl9 0.0684 0.4029 0.6372  -0.01
Cl10 0.6655 0.0684 0.3628  -0.01
Cl11 0.5971 0.6655 0.6372  -0.01
Cl12 0.4029 0.3345 0.3628  -0.01
V1 0.6667 0.3333 0.2500  1.87
V2 0.3333 0.6667 0.7500  1.87
Ba1 0.3333 0.6667 0.2500  0.00
Ba2 0.6667 0.3333 0.7500  0.00

***

Compound: BaTl2VCl6
Source: Alexandria
Functional: GGA-PBE
Structure: relaxed

## Properties
calculated total energy = -41.6 eV/cell
symmetry = P-1, No. 2
uncorrected formation energy = -1.470 eV per atom
crystal system = triclinic
magnetic moment = 3.00 μB per cell

a b c (Å): 7.8188 7.8226 7.4482
angles (deg): 58.16 58.19 59.88
Site moments in Bohr magnetons follow the coordinates.
Positions (direct):
Tl1 0.0928 0.0938 0.7192  0.01
Tl2 0.5395 0.5385 0.3839  0.01
V1 0.3162 0.3162 0.0515  2.58
Cl1 0.4533 0.6266 0.8067  -0.01
Cl2 0.1110 0.4524 0.8098  -0.01
Cl3 0.6263 0.1104 0.8096  -0.01
Cl4 0.1790 0.0057 0.2964  -0.01
Cl5 0.5214 0.1799 0.2933  -0.01
Cl6 0.0060 0.5219 0.2935  -0.01
Ba1 0.8162 0.8161 0.5515  0.01

***

Compound: BaYTlCl6
Source: Alexandria
Functional: GGA-PBE
Structure: relaxed

## Properties
calculated total energy = -81.3 eV/cell
symmetry = P-31c, No. 163
density of states at the Fermi level = 0.00 states/eV/cell
uncorrected formation energy = -2.088 eV per atom
crystal system = trigonal
magnetic moment = 0.00 μB per cell

a b c (Å): 7.6685 7.6685 12.9666
angles (deg): 90.00 90.00 120.00
Positions (direct):
Cl1 0.9577 0.3425 0.1338
Cl2 0.3425 0.9577 0.6338
Cl3 0.6575 0.0423 0.3662
Cl4 0.3425 0.3848 0.8662
Cl5 0.0423 0.3848 0.6338
Cl6 0.6152 0.9577 0.8662
Cl7 0.0423 0.6575 0.8662
Cl8 0.3848 0.0423 0.1338
Cl9 0.6152 0.6575 0.6338
Cl10 0.9577 0.6152 0.3662
Cl11 0.3848 0.3425 0.3662
Cl12 0.6575 0.6152 0.1338
Tl1 0.0000 0.0000 0.5000
Tl2 0.0000 0.0000 0.0000
Ba1 0.6667 0.3333 0.7500
Ba2 0.3333 0.6667 0.2500
Y1 0.3333 0.6667 0.7500
Y2 0.6667 0.3333 0.2500

***

Look up the uncorrected formation energy of the fifth one. -1.803 eV per atom

***

Which of these has the highest uncorrected formation energy? BaTlV2Cl